La11Sm9Y4 | GGA-PBE | relaxed

Lattice parameters (Å, degrees): 17.414 26.377 3.715 90.00 90.00 90.00
Space group Cmmm (No. 65)
Inequivalent atoms, fractional coordinates:
La (0.000, 0.000, 0.000)
La (0.000, 0.161, 0.000)
La (0.000, 0.369, 0.000)
La (0.209, 0.500, 0.000)
La (0.221, 0.181, 0.000)
Sm (0.000, 0.500, 0.500)
Sm (0.102, 0.268, 0.500)
Sm (0.140, 0.073, 0.500)
Y (0.158, 0.398, 0.500)

Values from the calculation:
Calculated volume (Å³/cell): 1706.3
Raw total energy (eV for the cell shown): -241.71
Formation energy from the elements (eV/f.u.): 1.7
DOS at the Fermi energy (states/eV/f.u.): 37.282

La6SmY2 | GGA-PBE | relaxed

Lattice parameters (Å, degrees): 6.5796 6.5796 9.4734 90.00 90.00 120.00
Space group P-31m (No. 162)
Inequivalent atoms, fractional coordinates:
La (0.0000, 0.3612, 0.2970)
Sm (0.0000, 0.0000, 0.5000)
Y (0.3333, 0.6667, 0.0000)

Values from the calculation:
Calculated volume (Å³/cell): 355.2
Raw total energy (eV for the cell shown): -43.59
Formation energy from the elements (eV/f.u.): 3.6
DOS at the Fermi energy (states/eV/f.u.): 15.812

LaSm4Y | GGA-PBE | relaxed

Lattice parameters (Å, degrees): 6.273 3.649 8.939 90.00 90.05 90.00
Space group P2/m (No. 10)
Inequivalent atoms, fractional coordinates:
La (0.000, 0.000, 0.000)
Sm (0.166, 0.500, 0.335)
Sm (0.334, 0.000, 0.665)
Y (0.500, 0.500, 0.000)

Values from the calculation:
Calculated volume (Å³/cell): 204.6
Raw total energy (eV for the cell shown): -30.17
Formation energy from the elements (eV/f.u.): 0.1
DOS at the Fermi energy (states/eV/f.u.): 8.689

Which formula does entry 3 have?
LaSm4Y

What did the second record say?
La6SmY2 | GGA-PBE | relaxed

Lattice parameters (Å, degrees): 6.5796 6.5796 9.4734 90.00 90.00 120.00
Space group P-31m (No. 162)
Inequivalent atoms, fractional coordinates:
La (0.0000, 0.3612, 0.2970)
Sm (0.0000, 0.0000, 0.5000)
Y (0.3333, 0.6667, 0.0000)

Values from the calculation:
Calculated volume (Å³/cell): 355.2
Raw total energy (eV for the cell shown): -43.59
Formation energy from the elements (eV/f.u.): 3.6
DOS at the Fermi energy (states/eV/f.u.): 15.812

The lowest formation energy from the elements belongs to which entry?
LaSm4Y